(1)
Computed, not measured: crystalline Pm2SnSbPd6 at its relaxed geometry at the PBE level of DFT.

Cell: 6.745 6.677 9.221 Å, 46.91 46.28 73.47°
Element x y z (fractional)
Sn: 0.500 0.500 0.000
Pd: 0.310 0.187 0.003
Pd: 0.813 0.690 0.501
Pd: 0.187 0.310 0.499
Pd: 0.748 0.252 0.186
Pd: 0.690 0.813 0.997
Pd: 0.252 0.748 0.814
Sb: 0.000 0.000 0.000
Pm: 0.252 0.748 0.498
Pm: 0.748 0.252 0.502

space group: C2/m, No. 12
size of the total moment: 0.0 Bohr magnetons per cell
V: 20.49 A^3/atom
DOS at the Fermi energy: 0.52 states/eV per atom
electronic total energy: -5.549 eV per atom

---

(2)
Computed, not measured: crystalline U3N4 at its relaxed geometry at the PBE level of DFT.

Cell: 6.211 6.211 6.211 Å, 109.47 109.47 109.47°
Element x y z (fractional)
N: 0.500 0.360 0.500
N: 0.860 0.500 0.000
N: 0.500 0.860 0.500
N: 0.000 0.000 0.360
N: 0.140 0.640 0.640
N: 0.360 0.500 0.000
N: 0.640 0.140 0.140
N: 0.000 0.000 0.860
U: 0.750 0.625 0.375
U: 0.875 0.250 0.625
U: 0.250 0.875 0.125
U: 0.125 0.375 0.250
U: 0.625 0.750 0.875
U: 0.375 0.125 0.750

space group: I-43d, No. 220
size of the total moment: 11.9 Bohr magnetons per cell
V: 13.17 A^3/atom
DOS at the Fermi energy: 0.78 states/eV per atom
electronic total energy: -10.820 eV per atom

---

(3)
Computed, not measured: crystalline YZrCu2 at its relaxed geometry at the PBE level of DFT.

Cell: 5.792 5.792 5.792 Å, 146.45 134.07 58.07°
Element x y z (fractional)
Cu: 0.782 0.282 0.500
Cu: 0.968 0.968 0.000
Y: 0.514 0.514 0.000
Zr: 0.236 0.736 0.500

space group: Imm2, No. 44
size of the total moment: 0.0 Bohr magnetons per cell
energy of formation from the pure elements: -0.020 eV per atom
V: 19.13 A^3/atom
DOS at the Fermi energy: 1.22 states/eV per atom
electronic total energy: -5.821 eV per atom

---

(4)
Computed, not measured: crystalline Fe5Si at its relaxed geometry at the PBE level of DFT.

Cell: 2.855 3.932 6.244 Å, 108.35 90.00 90.00°
Element x y z (fractional)
Fe: 0.000 0.666 0.331
Fe: 0.000 0.334 0.669
Fe: 0.500 0.166 0.332
Fe: 0.500 0.834 0.668
Fe: 0.500 0.500 0.000
Si: 0.000 0.000 0.000

space group: Cmmm, No. 65
size of the total moment: 9.0 Bohr magnetons per cell
V: 11.09 A^3/atom
DOS at the Fermi energy: 1.04 states/eV per atom
electronic total energy: -8.122 eV per atom